# ZrNiBi2O6 (PBE with a Hubbard U, relaxed)
# Total energy, eV/atom: -6.640
# Space-group type: P2_1/c, No. 14
data_ZrNiBi2O6
_symmetry_space_group_name_H-M 'P 1'
_symmetry_Int_Tables_number 1
_symmetry_space_group_name_Hall 'P 1'
_cell_length_a 5.581
_cell_length_b 5.909
_cell_length_c 8.045
_cell_angle_alpha 90.00
_cell_angle_beta 89.47
_cell_angle_gamma 90.00
loop_
_atom_site_label
_atom_site_type_symbol
_atom_site_fract_x
_atom_site_fract_y
_atom_site_fract_z
Zr1 Zr 0.500 0.000 0.500
Zr2 Zr 0.000 0.500 0.000
Ni1 Ni 0.500 0.000 0.000
Ni2 Ni 0.000 0.500 0.500
Bi1 Bi 0.011 0.951 0.249
Bi2 Bi 0.511 0.549 0.749
Bi3 Bi 0.989 0.049 0.751
Bi4 Bi 0.489 0.451 0.251
O1 O 0.315 0.689 0.053
O2 O 0.815 0.811 0.553
O3 O 0.685 0.311 0.947
O4 O 0.185 0.189 0.447
O5 O 0.318 0.693 0.445
O6 O 0.818 0.807 0.945
O7 O 0.682 0.307 0.555
O8 O 0.182 0.193 0.055
O9 O 0.884 0.538 0.252
O10 O 0.384 0.962 0.752
O11 O 0.116 0.462 0.748
O12 O 0.616 0.038 0.248